# PBE SnBiPb6, relaxed
data_SnBiPb6
_chemical_formula_sum 'Sn1 Bi1 Pb6'
_cell_length_a 4.886
_cell_length_b 4.886
_cell_length_c 10.547
_cell_angle_alpha 90.00
_cell_angle_beta 90.00
_cell_angle_gamma 90.00
_space_group_name_H-M_alt 'P 4/m m m'
_space_group_IT_number 123
_space_group_name_Hall '-P 4 2'
loop_
_atom_site_label
_atom_site_fract_x
_atom_site_fract_y
_atom_site_fract_z
Sn1 0.000 0.000 0.000
Bi1 0.000 0.000 0.500
Pb1 0.000 0.500 0.245
Pb2 0.500 0.500 0.000
Pb3 0.500 0.500 0.500
# Energy of formation ... 0.03 eV per atom
# Excess energy over the best structure of this formula in the dataset ... 0.0000 eV per atom
# Calculated density ... 10.36 g/cm³
# Calculated volume ... 251.8 Å³ per cell